[1]
# Ce4As2PCl

Crystalline Ce4As2PCl at its relaxed geometry (PBE, the Alexandria database).

a = 7.1592 Å, b = 4.1667 Å, c = 7.2010 Å
α = 90.00°, β = 109.63°, γ = 90.00°
Sites, in units of the cell vectors:
Ce: 0.2441 0.0000 0.2417
Ce: 0.2487 0.5000 0.7567
Ce: 0.7513 0.5000 0.2433
Ce: 0.7559 0.0000 0.7583
As: 0.5000 0.0000 0.0000
As: 0.5000 0.5000 0.5000
P: 0.0000 0.5000 0.0000
Cl: 0.0000 0.0000 0.5000

## Properties
- crystal system = monoclinic
- total magnetization (μB per cell) = 3.06
- E_form (uncorrected) (eV/atom) = -1.49
- total DFT energy (no corrections) (eV/cell) = -52.217

[2]
# Ce4AsP2Cl

Crystalline Ce4AsP2Cl at its relaxed geometry (PBE, the Alexandria database).

a = 7.1067 Å, b = 4.1224 Å, c = 7.1839 Å
α = 90.00°, β = 109.40°, γ = 90.00°
Sites, in units of the cell vectors:
Ce: 0.2420 0.0000 0.2342
Ce: 0.2517 0.5000 0.7624
Ce: 0.7483 0.5000 0.2376
Ce: 0.7580 0.0000 0.7658
As: 0.0000 0.0000 0.5000
P: 0.0000 0.5000 0.0000
P: 0.5000 0.0000 0.0000
Cl: 0.5000 0.5000 0.5000

## Properties
- crystal system = monoclinic
- total magnetization (μB per cell) = 2.90
- E_form (uncorrected) (eV/atom) = -1.53
- total DFT energy (no corrections) (eV/cell) = -53.266

[3]
# Ce6As2P3Cl

Crystalline Ce6As2P3Cl at its relaxed geometry (PBE, the Alexandria database).

a = 9.2684 Å, b = 9.2684 Å, c = 8.2860 Å
α = 103.42°, β = 103.42°, γ = 25.76°
Sites, in units of the cell vectors:
Ce: 0.0029 0.0029 0.2386
Ce: 0.3296 0.3296 0.4218
Ce: 0.3350 0.3350 0.9119
Ce: 0.6650 0.6650 0.0881
Ce: 0.6704 0.6704 0.5782
Ce: 0.9971 0.9971 0.7614
As: 0.1654 0.1654 0.8309
As: 0.8346 0.8346 0.1691
P: 0.1664 0.1664 0.3338
P: 0.5000 0.5000 0.0000
P: 0.8336 0.8336 0.6662
Cl: 0.5000 0.5000 0.5000

## Properties
- crystal system = monoclinic
- total magnetization (μB per cell) = 4.46
- E_form (uncorrected) (eV/atom) = -1.50
- total DFT energy (no corrections) (eV/cell) = -81.037

[4]
# CePuAsCl

Crystalline CePuAsCl at its relaxed geometry (PBE, the Alexandria database).

a = 7.1833 Å, b = 7.1833 Å, c = 7.1833 Å
α = 90.00°, β = 90.00°, γ = 90.00°
Sites, in units of the cell vectors:
Ce: 0.0000 0.0000 0.0000
Ce: 0.0000 0.5000 0.5000
Ce: 0.5000 0.0000 0.5000
Ce: 0.5000 0.5000 0.0000
Pu: 0.0000 0.0000 0.5000
Pu: 0.0000 0.5000 0.0000
Pu: 0.5000 0.0000 0.0000
Pu: 0.5000 0.5000 0.5000
As: 0.2500 0.2500 0.7500
As: 0.2500 0.7500 0.2500
As: 0.7500 0.2500 0.2500
As: 0.7500 0.7500 0.7500
Cl: 0.2500 0.2500 0.2500
Cl: 0.2500 0.7500 0.7500
Cl: 0.7500 0.2500 0.7500
Cl: 0.7500 0.7500 0.2500

## Properties
- crystal system = cubic
- total magnetization (μB per cell) = 31.43
- E_form (uncorrected) (eV/atom) = -1.17
- total DFT energy (no corrections) (eV/cell) = -125.728